# 1
This record from Alexandria describes a geometry-optimized ErTaIr2 structure. The functional is GGA-PBE.

Lattice parameters (Å, degrees): 5.1351 5.1351 5.1351 51.36 51.36 51.36
Last column: nearest neighbours and their distance in Å.
Fractional positions:
Er (0.0000, 0.0000, 0.0000)  8 Ir 2.97
Ta (0.5000, 0.5000, 0.5000)  6 Ir 2.68
Ir (0.2224, 0.2224, 0.2224)  3 Ta 2.68, 4 Er 2.97, 3 Ir 2.97
Ir (0.7776, 0.7776, 0.7776)  3 Ta 2.68, 4 Er 2.97, 3 Ir 2.97

D(E_F)   2.4 states/eV/cell
ΔH_f (0 K)   -0.557 eV/atom
Total DFT energy (no corrections)   -9.0911 eV per atom
Energy above the lowest structure with this stoichiometry   0.103 eV/atom

# 2
This record from Alexandria describes a geometry-optimized ErTaIr2 structure. The functional is GGA-PBE.

Lattice parameters (Å, degrees): 3.0925 3.0925 7.5555 90.00 90.00 90.00
Last column: nearest neighbours and their distance in Å.
Fractional positions:
Er (0.0000, 0.0000, 0.0000)  8 Ir 3.07, 4 Er 3.09
Ta (0.0000, 0.0000, 0.5000)  8 Ir 2.72
Ir (0.5000, 0.5000, 0.2851)  4 Ta 2.72
Ir (0.5000, 0.5000, 0.7149)  4 Ta 2.72

D(E_F)   3.7 states/eV/cell
ΔH_f (0 K)   -0.659 eV/atom
Total DFT energy (no corrections)   -9.1937 eV per atom
Energy above the lowest structure with this stoichiometry   0.000 eV/atom

# 3
This record from Alexandria describes a geometry-optimized ErTa2Ir2 structure. The functional is GGA-PBE.

Lattice parameters (Å, degrees): 6.1226 6.1226 6.1226 137.71 137.71 61.35
Last column: nearest neighbours and their distance in Å.
Fractional positions:
Er (0.0000, 0.0000, 0.0000)  8 Ir 3.38, 8 Ta 3.44
Ta (0.2500, 0.7500, 0.5000)  4 Ir 2.58
Ta (0.7500, 0.2500, 0.5000)  4 Ir 2.58
Ir (0.3766, 0.3766, 0.0000)  4 Ta 2.58, 1 Ir 2.60
Ir (0.6234, 0.6234, 0.0000)  4 Ta 2.58, 1 Ir 2.60

D(E_F)   3.4 states/eV/cell
ΔH_f (0 K)   -0.615 eV/atom
Total DFT energy (no corrections)   -9.8126 eV per atom

# 4
This record from Alexandria describes a geometry-optimized Tb3ErIr2 structure. The functional is GGA-PBE.

Lattice parameters (Å, degrees): 8.3692 8.3692 8.3692 132.35 71.57 129.98
Last column: nearest neighbours and their distance in Å.
Fractional positions:
Tb (0.0161, 0.7500, 0.2661)  4 Ir 2.88-2.93
Tb (0.2500, 0.2500, 0.0000)  4 Ir 2.95
Tb (0.4839, 0.7500, 0.7339)  4 Ir 2.88-2.93
Tb (0.5161, 0.2500, 0.2661)  4 Ir 2.88-2.93
Tb (0.7500, 0.7500, 0.0000)  4 Ir 2.95
Tb (0.9839, 0.2500, 0.7339)  4 Ir 2.88-2.93
Er (0.0000, 0.5000, 0.5000)  2 Ir 2.69
Er (0.5000, 0.0000, 0.5000)  2 Ir 2.69
Ir (0.1375, 0.2144, 0.3519)  1 Er 2.69, 6 Tb 2.88-2.95
Ir (0.3625, 0.7144, 0.0769)  1 Er 2.69, 6 Tb 2.88-2.95
Ir (0.6375, 0.2856, 0.9231)  1 Er 2.69, 6 Tb 2.88-2.95
Ir (0.8625, 0.7856, 0.6481)  1 Er 2.69, 6 Tb 2.88-2.95

D(E_F)   10.1 states/eV/cell
ΔH_f (0 K)   -0.640 eV/atom
Total DFT energy (no corrections)   -6.6695 eV per atom

# 5
This record from Alexandria describes a geometry-optimized TbEr2Ir structure. The functional is GGA-PBE.

Lattice parameters (Å, degrees): 6.3306 6.3306 9.0323 90.00 90.00 144.34
Last column: nearest neighbours and their distance in Å.
Fractional positions:
Tb (0.0726, 0.9274, 0.7500)  2 Ir 2.87
Tb (0.9274, 0.0726, 0.2500)  2 Ir 2.87
Er (0.3572, 0.6428, 0.5663)  3 Ir 2.87-3.12
Er (0.3572, 0.6428, 0.9337)  3 Ir 2.87-3.12
Er (0.6428, 0.3572, 0.0663)  3 Ir 2.87-3.12
Er (0.6428, 0.3572, 0.4337)  3 Ir 2.87-3.12
Ir (0.2523, 0.7477, 0.2500)  2 Tb 2.87, 6 Er 2.87-3.12
Ir (0.7477, 0.2523, 0.7500)  2 Tb 2.87, 6 Er 2.87-3.12

D(E_F)   9.1 states/eV/cell
ΔH_f (0 K)   -0.562 eV/atom
Total DFT energy (no corrections)   -6.2165 eV per atom
Energy above the lowest structure with this stoichiometry   0.037 eV/atom

# 6
This record from Alexandria describes a geometry-optimized Tb2ErIr structure. The functional is GGA-PBE.

Lattice parameters (Å, degrees): 10.7030 10.7030 10.7030 20.06 20.06 20.06
Last column: nearest neighbours and their distance in Å.
Fractional positions:
Tb (0.1123, 0.1123, 0.1123)  3 Ir 2.75
Tb (0.8877, 0.8877, 0.8877)  3 Ir 2.75
Er (0.0000, 0.0000, 0.0000)  2 Tb 3.53, 6 Er 3.73
Ir (0.5000, 0.5000, 0.5000)  6 Tb 2.75

D(E_F)   5.2 states/eV/cell
ΔH_f (0 K)   -0.100 eV/atom
Total DFT energy (no corrections)   -5.7706 eV per atom
Energy above the lowest structure with this stoichiometry   0.478 eV/atom